Hg2OsSe2: optimized geometry, PBE-GGA.

abc: 6.1531 6.1531 7.2866
angles: 90.00 90.00 90.00
Last column: nearest neighbours and their distance in Å.
Atoms (fractional coordinates):
Os  0.0000  0.0000  0.0000  4 Se 2.36
Os  0.5000  0.5000  0.0000  4 Se 2.36
Hg  0.2497  0.7497  0.5000  4 Hg 3.08
Hg  0.7497  0.7503  0.5000  4 Hg 3.08
Hg  0.7503  0.2503  0.5000  4 Hg 3.08
Hg  0.2503  0.2497  0.5000  4 Hg 3.08
Se  0.3561  0.8561  0.0000  2 Os 2.36, 1 Se 2.50
Se  0.8561  0.6439  0.0000  2 Os 2.36, 1 Se 2.50
Se  0.6439  0.1439  0.0000  2 Os 2.36, 1 Se 2.50
Se  0.1439  0.3561  0.0000  2 Os 2.36, 1 Se 2.50

Formation energy without anion corrections = 0.284 eV/atom
Crystal system = tetragonal
Fermi-level density of states = 0.672 states/eV/atom
Volume = 276 Å³/cell
Calculated total energy = -3.48 eV per atom
M_tot = 0.00 μB per formula unit
Distance to the lowest polymorph of the same formula = 0 meV per atom

=====

EuTe2Pb: optimized geometry, PBE-GGA.

abc: 4.0311 5.5867 5.5867
angles: 90.00 90.00 90.00
Last column: nearest neighbours and their distance in Å.
Atoms (fractional coordinates):
Pb  0.5000  0.0000  0.0000  8 Te 3.44
Eu  0.5000  0.5000  0.5000  8 Te 3.44
Te  0.0000  0.0000  0.5000  4 Eu 3.44, 4 Pb 3.44
Te  0.0000  0.5000  0.0000  4 Eu 3.44, 4 Pb 3.44

Formation energy without anion corrections = -0.859 eV/atom
Crystal system = tetragonal
Fermi-level density of states = 2.460 states/eV/atom
Volume = 126 Å³/cell
Calculated total energy = -5.93 eV per atom
M_tot = 6.87 μB per formula unit
Distance to the lowest polymorph of the same formula = 182 meV per atom

=====

Ac4Tb3Pm4: optimized geometry, PBE-GGA.

abc: 19.2115 19.2115 3.7115
angles: 88.99 88.99 17.51
Last column: nearest neighbours and their distance in Å.
Atoms (fractional coordinates):
Ac  0.9083  0.9083  0.2196  5 Tb 3.65-3.81, 2 Ac 3.71, 6 Pm 3.81-4.09
Ac  0.7211  0.7211  0.7553  6 Ac 3.71-4.10, 5 Pm 3.77-3.81, 2 Tb 3.81
Ac  0.2789  0.2789  0.2447  6 Ac 3.71-4.10, 5 Pm 3.77-3.81, 2 Tb 3.81
Ac  0.0917  0.0917  0.7804  5 Tb 3.65-3.81, 2 Ac 3.71, 6 Pm 3.81-4.09
Tb  0.3666  0.3666  0.7275  3 Pm 3.41-3.53, 2 Tb 3.71, 6 Ac 3.81
Tb  0.6334  0.6334  0.2725  3 Pm 3.41-3.53, 2 Tb 3.71, 6 Ac 3.81
Tb  0.0000  0.0000  0.5000  4 Pm 3.45, 2 Ac 3.65, 2 Tb 3.71
Pm  0.4593  0.4593  0.7745  3 Tb 3.45-3.53, 4 Pm 3.54-3.71, 2 Ac 3.86
Pm  0.5407  0.5407  0.2255  3 Tb 3.45-3.53, 4 Pm 3.54-3.71, 2 Ac 3.86
Pm  0.1796  0.1796  0.2585  2 Tb 3.41, 2 Pm 3.71, 6 Ac 3.77-3.81
Pm  0.8204  0.8204  0.7415  2 Tb 3.41, 2 Pm 3.71, 6 Ac 3.77-3.81

Energy of formation = 0.07 eV/atom
Crystal system = monoclinic
Fermi-level density of states = 1.501 states/eV/atom
Volume = 412 Å³/cell
Calculated total energy = -4.41 eV per atom
M_tot = 0.00 μB per formula unit

=====

K2SiS3: optimized geometry, PBE-GGA.

abc: 6.6124 7.5257 15.0170
angles: 90.00 90.00 63.94
Last column: nearest neighbours and their distance in Å.
Atoms (fractional coordinates):
K  0.5549  0.3897  0.3549  5 S 3.13-3.36
K  0.0554  0.3897  0.1451  5 S 3.13-3.36
K  0.4451  0.6103  0.6451  5 S 3.13-3.36
K  0.9446  0.6103  0.8549  5 S 3.13-3.36
K  0.3578  0.7845  0.0643  7 S 3.23-3.51
K  0.8577  0.7845  0.4357  7 S 3.23-3.51
K  0.6422  0.2155  0.9357  7 S 3.23-3.51
K  0.1423  0.2155  0.5643  7 S 3.23-3.51
Si  0.7516  0.9971  0.1691  4 S 2.08-2.23
Si  0.2514  0.9971  0.3309  4 S 2.08-2.23
Si  0.2484  0.0029  0.8309  4 S 2.08-2.23
Si  0.7486  0.0029  0.6691  4 S 2.08-2.23
S  0.5657  0.8686  0.2500  2 Si 2.23
S  0.4343  0.1314  0.7500  2 Si 2.23
S  0.5995  0.3016  0.1504  1 Si 2.08
S  0.0989  0.3016  0.3496  1 Si 2.08
S  0.4005  0.6984  0.8496  1 Si 2.08
S  0.9011  0.6984  0.6504  1 Si 2.08
S  0.6588  0.1825  0.5550  1 Si 2.10
S  0.1587  0.1825  0.9450  1 Si 2.10
S  0.3412  0.8175  0.4450  1 Si 2.10
S  0.8413  0.8175  0.0550  1 Si 2.10
S  0.0659  0.8682  0.2500  2 Si 2.23
S  0.9341  0.1318  0.7500  2 Si 2.23

Formation energy without anion corrections = -1.095 eV/atom
Crystal system = orthorhombic
Fermi-level density of states = 0.000 states/eV/atom
Volume = 671 Å³/cell
Calculated total energy = -4.43 eV per atom
M_tot = 0.00 μB per formula unit

=====

Ba4CaFe: optimized geometry, PBE-GGA.

abc: 7.5392 7.5392 7.5392
angles: 60.00 60.00 60.00
Last column: nearest neighbours and their distance in Å.
Atoms (fractional coordinates):
Ba  0.8782  0.3739  0.3739  6 Ba 3.74-3.80
Ba  0.3739  0.3739  0.8782  6 Ba 3.74-3.80
Ba  0.3739  0.8782  0.3739  6 Ba 3.74-3.80
Ba  0.3739  0.3739  0.3739  6 Ba 3.74-3.80
Ca  0.7500  0.7500  0.7500  12 Ba 4.42, 4 Fe 4.62
Fe  0.0000  0.0000  0.0000  12 Ba 4.42, 4 Ca 4.62

Energy of formation = 0.81 eV/atom
Crystal system = cubic
Fermi-level density of states = 2.587 states/eV/atom
Volume = 303 Å³/cell
Calculated total energy = -2.22 eV per atom
M_tot = 2.80 μB per formula unit

=====

SrMo2Pb: optimized geometry, PBE-GGA.

abc: 2.9763 2.9763 10.0495
angles: 90.00 90.00 90.00
Last column: nearest neighbours and their distance in Å.
Atoms (fractional coordinates):
Mo  0.0000  0.0000  0.0210  4 Mo 2.98, 4 Pb 3.12
Mo  0.0000  0.0000  0.4790  4 Mo 2.98, 4 Pb 3.12
Pb  0.5000  0.5000  0.2500  4 Pb 2.98, 8 Mo 3.12
Sr  0.5000  0.5000  0.7500  4 Sr 2.98

Energy of formation = 1.15 eV/atom
Crystal system = tetragonal
Fermi-level density of states = 1.096 states/eV/atom
Volume = 89 Å³/cell
Calculated total energy = -5.61 eV per atom
M_tot = 0.00 μB per formula unit